[1]
UPa3P4, optimized geometry, DFT PBE; space-group type = Pm-3m; formation enthalpy at 0 K = -1.24 eV/atom; E = -71.3 eV/f.u.
1.0
5.602 0.000 0.000
0.000 5.602 0.000
0.000 0.000 5.602
P Pa U
4 3 1
Cartesian
2.801 0.000 0.000
0.000 0.000 2.801
2.801 2.801 2.801
0.000 2.801 0.000
2.801 0.000 2.801
2.801 2.801 0.000
0.000 2.801 2.801
0.000 0.000 0.000

=====

[2]
YUPa2P4, optimized geometry, DFT PBE; space-group type = P2/m; formation enthalpy at 0 K = -1.30 eV/atom; E = -68.8 eV/f.u.
1.0
3.960 0.000 0.000
0.000 6.886 0.128
0.000 -2.397 6.432
Y Pa P U
1 2 4 1
Cartesian
1.980 3.443 0.064
0.000 2.244 3.280
1.980 -1.199 3.216
0.000 -0.091 4.849
1.980 1.113 1.631
0.000 4.580 1.711
1.980 3.375 4.929
0.000 0.000 0.000

=====

[3]
Y2UPaP4, optimized geometry, DFT PBE; space-group type = P2/m; formation enthalpy at 0 K = -1.37 eV/atom; E = -66.3 eV/f.u.
1.0
-0.718 3.769 -1.029
-1.428 -2.025 -6.419
-5.805 -0.074 3.775
P U Y Pa
4 1 2 1
Cartesian
-5.821 0.305 -2.493
-4.740 -0.564 1.238
-2.130 1.366 -1.181
-2.494 -1.535 -3.882
0.000 0.000 0.000
-3.261 1.847 1.373
-3.617 -1.050 -1.322
-1.073 0.872 -3.724

=====

[4]
Zr2UPaP4, optimized geometry, DFT PBE; space-group type = P2/m; formation enthalpy at 0 K = -1.29 eV/atom; E = -69.8 eV/f.u.
1.0
3.849 0.000 0.000
0.000 6.627 -0.117
0.000 2.347 6.263
Pa P Zr U
1 4 2 1
Cartesian
1.925 3.313 -0.058
3.849 2.175 1.574
0.000 6.798 4.572
1.925 5.626 1.464
1.925 3.348 4.682
1.925 1.173 3.131
0.000 2.347 6.263
0.000 4.487 3.073

=====

[5]
Zr2UPa3P6, optimized geometry, DFT PBE; space-group type = C2/m; formation enthalpy at 0 K = -1.29 eV/atom; E = -104.8 eV/f.u.
1.0
-1.282 -1.167 3.494
3.224 -6.968 -1.144
6.854 4.918 1.980
P Pa U Zr
6 3 1 2
Cartesian
5.468 -0.087 1.977
0.867 -1.702 -0.250
1.736 0.216 2.886
7.060 -3.432 1.444
7.928 -1.514 4.580
3.327 -3.129 2.352
0.971 -4.067 1.175
4.058 1.147 4.049
4.737 -4.363 0.281
-0.641 -0.583 1.747
3.157 -0.878 0.865
5.638 -2.338 3.465

=====

[6]
ZrU2PaP4, optimized geometry, DFT PBE; space-group type = P2/m; formation enthalpy at 0 K = -1.17 eV/atom; E = -71.6 eV/f.u.
1.0
-0.544 2.909 2.508
-4.652 -3.620 3.191
6.096 -1.249 2.772
P U Pa Zr
4 2 1 1
Cartesian
3.460 -1.817 2.859
-2.016 -3.052 3.103
0.807 -2.237 5.771
0.092 0.277 2.699
0.722 -2.435 2.981
2.776 0.830 2.640
-2.598 -0.355 2.849
0.000 0.000 0.000

=====

[7]
PaVP3, optimized geometry, DFT PBE; space-group type = P2_1/c; formation enthalpy at 0 K = -0.78 eV/atom; E = -38.7 eV/f.u.
1.0
5.723 0.000 0.000
0.000 7.110 0.333
0.000 -2.240 8.268
Pa P V
4 12 4
Cartesian
1.489 1.453 7.019
1.372 6.128 3.052
4.234 3.417 1.581
4.350 -1.258 5.549
3.336 3.598 7.386
4.203 5.812 3.048
3.086 4.111 4.118
0.225 5.434 0.515
1.341 3.734 1.585
0.475 3.708 5.514
2.387 1.273 1.214
2.636 0.759 4.482
5.498 -0.564 8.085
5.248 1.163 3.086
1.520 -0.941 5.553
4.381 1.137 7.015
1.449 4.945 7.950
4.310 2.361 4.951
4.274 -0.074 0.651
1.412 2.510 3.649

=====

[8]
PaV6P8, optimized geometry, DFT PBE; space-group type = R-3; formation enthalpy at 0 K = -0.51 eV/atom; E = -115.1 eV/f.u.
1.0
6.206 0.455 0.469
0.261 6.218 0.469
0.261 0.269 6.229
P Pa V
8 1 6
Cartesian
3.965 5.882 2.115
1.800 4.023 5.947
5.755 1.980 4.212
4.928 2.919 1.221
1.678 1.731 1.788
0.973 4.961 2.956
5.050 5.210 5.381
2.763 1.059 5.054
0.000 0.000 0.000
5.232 4.119 3.266
2.967 5.327 4.222
3.761 1.614 2.947
2.775 3.849 1.708
1.496 2.823 3.902
3.953 3.092 5.460

=====

[9]
PaV2P, optimized geometry, DFT PBE; space-group type = Fm-3m; formation enthalpy at 0 K = -0.18 eV/atom; E = -33.9 eV/f.u.
1.0
-2.677 -2.736 2.195
-1.991 -3.315 -2.125
1.240 -4.165 0.756
V Pa P
2 1 1
Cartesian
-0.858 -2.553 0.206
-2.570 -7.663 0.620
0.000 0.000 0.000
-1.714 -5.108 0.413

=====

[10]
PaV2P, optimized geometry, DFT PBE; space-group type = P4/mmm; formation enthalpy at 0 K = -0.23 eV/atom; E = -34.1 eV/f.u.
1.0
-2.722 -1.425 0.850
1.639 -2.057 1.802
-0.517 3.974 5.004
V P Pa
2 1 1
Cartesian
-0.090 0.689 0.868
-0.427 3.285 4.137
-0.542 -1.741 1.326
-0.800 0.246 3.828

=====

[11]
PaV4P2, optimized geometry, DFT PBE; space-group type = Cmmm; formation enthalpy at 0 K = -0.48 eV/atom; E = -60.2 eV/f.u.
1.0
-1.060 3.413 1.981
1.184 -1.782 3.704
5.125 3.108 -2.613
V P Pa
4 2 1
Cartesian
1.614 2.538 0.705
2.884 -0.003 1.547
3.636 2.201 2.367
3.426 1.328 -0.456
1.193 1.254 2.692
4.057 3.485 0.380
0.000 0.000 0.000

=====

[12]
YPa4P6, optimized geometry, DFT PBE; space-group type = R-3c; formation enthalpy at 0 K = -1.08 eV/atom; E = -88.8 eV/f.u.
1.0
-4.010 1.786 6.399
-4.718 -6.049 -1.166
4.814 -4.447 4.156
Y Pa P
2 8 12
Cartesian
0.000 0.000 0.000
-1.957 -4.355 4.694
-3.349 -3.998 1.421
-1.023 -7.120 2.632
-0.897 -1.279 3.215
-0.566 -4.711 7.967
1.428 -4.401 4.425
-2.892 -1.589 6.757
-3.017 -7.431 6.174
-5.343 -4.309 4.964
-0.916 -1.847 8.681
-3.362 -4.583 6.953
-0.261 -2.648 5.850
-3.654 -6.062 3.539
-3.569 -2.356 3.966
-1.323 -9.136 4.796
-2.340 -6.600 8.946
-2.591 0.426 4.593
-2.999 -6.862 0.708
-0.552 -4.126 2.436
-0.345 -6.354 5.422
-1.575 -2.110 0.442

=====

Question: Look up the E of the third one.
Answer: -66.3 eV/f.u.

=====

Repeat the sixth record exactly.
ZrU2PaP4, optimized geometry, DFT PBE; space-group type = P2/m; formation enthalpy at 0 K = -1.17 eV/atom; E = -71.6 eV/f.u.
1.0
-0.544 2.909 2.508
-4.652 -3.620 3.191
6.096 -1.249 2.772
P U Pa Zr
4 2 1 1
Cartesian
3.460 -1.817 2.859
-2.016 -3.052 3.103
0.807 -2.237 5.771
0.092 0.277 2.699
0.722 -2.435 2.981
2.776 0.830 2.640
-2.598 -0.355 2.849
0.000 0.000 0.000

=====

Question: Look up the formation enthalpy at 0 K of the eleventh one.
Answer: -0.48 eV/atom